Entry 1:
This record from Alexandria describes crystalline SrTiAlCl2 at its relaxed geometry. The functional is PBE.

It has space group P4/mmm (No. 123), with a = 5.319 Å, b = 5.319 Å, c = 7.311 Å, α = 90.00°, β = 90.00° and γ = 90.00°. The distinct sites, in fractional coordinates, are Sr at (0.000, 0.000, 0.000), Ti at (0.500, 0.500, 0.500), Al at (0.000, 0.000, 0.500) and Cl at (0.000, 0.500, 0.000).

The calculation puts the raw formation energy at -0.06 eV per atom. The density of states at the Fermi level comes out at 2.3 states/eV/cell.



Entry 2:
This record from Alexandria describes crystalline SrMgCdIn2 at its relaxed geometry. The functional is PBE.

It has space group I-4m2 (No. 119), with a = 4.658 Å, b = 4.658 Å, c = 12.954 Å, α = 90.00°, β = 90.00° and γ = 90.00°. The distinct sites, in fractional coordinates, are Sr at (0.000, 0.000, 0.000), Mg at (0.000, 0.500, 0.750), Cd at (0.000, 0.500, 0.250) and In at (0.000, 0.000, 0.389).

The value obtained for the formation enthalpy at 0 K is -0.293 eV per atom. The density of states at the Fermi level comes out at 5.2 states/eV/cell.



Entry 3:
This record from Alexandria describes crystalline EuPH at its relaxed geometry. The functional is PBE.

It has space group P3m1 (No. 156), with a = 3.7834 Å, b = 3.7834 Å, c = 4.2512 Å, α = 90.00°, β = 90.00° and γ = 120.00°. The distinct sites, in fractional coordinates, are Eu at (0.0000, 0.0000, 0.0000), P at (0.6667, 0.3333, 0.5001) and H at (0.3333, 0.6667, 0.9988).

The density of states at the Fermi level comes out at 5.4 states/eV/cell. The value obtained for the energy above the most stable polymorph in this dataset is 381 meV per atom.



Entry 4:
This record from Alexandria describes crystalline KHfTe2Se at its relaxed geometry. The functional is PBE.

It has space group P4/mmm (No. 123), with a = 5.678 Å, b = 5.678 Å, c = 5.223 Å, α = 90.00°, β = 90.00° and γ = 90.00°. The distinct sites, in fractional coordinates, are K at (0.000, 0.000, 0.000), Hf at (0.500, 0.500, 0.500), Te at (0.000, 0.500, 0.500) and Se at (0.500, 0.500, 0.000).

The calculation puts the raw formation energy at -0.82 eV per atom. The density of states at the Fermi level comes out at 3.0 states/eV/cell.



Entry 5:
This record from Alexandria describes crystalline Tl2IrSe at its relaxed geometry. The functional is PBE.

It has space group I-42d (No. 122), with a = 6.228 Å, b = 6.228 Å, c = 13.333 Å, α = 90.00°, β = 90.00° and γ = 90.00°. The distinct sites, in fractional coordinates, are Tl at (0.219, 0.250, 0.125), Ir at (0.000, 0.000, 0.000) and Se at (0.000, 0.000, 0.500).

The calculation puts the raw formation energy at 0.52 eV per atom. The density of states at the Fermi level comes out at 18.6 states/eV/cell. The value obtained for the energy above the most stable polymorph in this dataset is 462 meV per atom.



Entry 6:
This record from Alexandria describes crystalline Ac3MgAl2Pd6 at its relaxed geometry. The functional is PBE.

It has space group P-3m1 (No. 164), with a = 5.9590 Å, b = 5.9590 Å, c = 9.0724 Å, α = 90.00°, β = 90.00° and γ = 120.00°. The distinct sites, in fractional coordinates, are Ac at (0.0000, 0.0000, 0.0000), Ac at (0.3333, 0.6667, 0.6451), Mg at (0.0000, 0.0000, 0.5000), Al at (0.3333, 0.6667, 0.0597) and Pd at (0.1735, 0.3470, 0.2815).

The value obtained for the formation enthalpy at 0 K is -0.640 eV per atom. The density of states at the Fermi level comes out at 6.5 states/eV/cell.